(1)
Here is NaLiSc2Se4 after structural relaxation from Alexandria via LeMat-Bulk. Energies are from PBE.

Cell lengths 3.9418, 6.7935, 13.9370 Å; angles 90.00, 90.00, 106.86 degrees
Fractional positions:
Se: 0.5546 0.1093 0.2500
Se: 0.0000 0.0000 0.5000
Se: 0.4454 0.8907 0.7500
Na: 0.8863 0.7727 0.2500
Sc: 0.6332 0.2664 0.0649
Se: 0.0000 0.0000 0.0000
Se: 0.7306 0.4612 0.8917
Li: 0.8393 0.6785 0.7500
Se: 0.2694 0.5388 0.3917
Se: 0.7306 0.4612 0.6083
Se: 0.2694 0.5388 0.1083
Sc: 0.3668 0.7336 0.5649
Sc: 0.6332 0.2664 0.4351
Li: 0.1607 0.3215 0.2500
Na: 0.1137 0.2273 0.7500
Sc: 0.3668 0.7336 0.9351

Calculated values
**Symmetry**: No. 63
**ρ**: 4.05 Mg/m³
**Raw formation energy**: -1.52 eV per atom

***

(2)
Here is NaLiScSn after structural relaxation from Alexandria via LeMat-Bulk. Energies are from PBE.

Cell lengths 4.9937, 4.9937, 4.9937 Å; angles 60.00, 60.00, 60.00 degrees
Fractional positions:
Li: 0.5000 0.5000 0.5000
Na: 0.7500 0.7500 0.7500
Sn: 0.2500 0.2500 0.2500
Sc: 0.0000 0.0000 0.0000

Calculated values
**ΔH_f (0 K)**: -245 meV/atom
**Symmetry**: No. 216
**ρ**: 3.65 Mg/m³

***

(3)
Here is NaLiScV2 after structural relaxation from Alexandria via LeMat-Bulk. Energies are from PBE.

Cell lengths 4.6390, 5.6192, 4.6390 Å; angles 90.00, 90.00, 90.00 degrees
Last column: magnetic moment on the atom in μB.
Fractional positions:
V: 0.5000 0.0000 0.0000  1.62
Sc: 0.0000 0.0000 0.0000  0.07
Li: 0.5000 0.5000 0.5000  -0.01
Na: 0.0000 0.5000 0.0000  -0.01
V: 0.0000 0.0000 0.5000  1.22

Calculated values
**ΔH_f (0 K)**: 1434 meV/atom
**Symmetry**: No. 123
**ρ**: 2.43 Mg/m³

***

(4)
Here is NaLiSe after structural relaxation from Alexandria via LeMat-Bulk. Energies are from PBE.

Cell lengths 4.4839, 5.4399, 8.4939 Å; angles 108.46, 58.12, 89.99 degrees
Fractional positions:
Li: 0.8201 0.2004 0.0578
Li: 0.5395 0.0884 0.8385
Na: 0.0105 0.8545 0.3671
Na: 0.3491 0.4345 0.5289
Se: 0.2011 0.0074 0.6769
Se: 0.1585 0.2813 0.2191

Calculated values
**Symmetry**: No. 11
**ρ**: 2.22 Mg/m³
**Raw formation energy**: -1.10 eV per atom

***

(5)
Here is NaLi2Se2 after structural relaxation from Alexandria via LeMat-Bulk. Energies are from PBE.

Cell lengths 7.7661, 7.7661, 3.1085 Å; angles 90.00, 90.00, 90.00 degrees
Fractional positions:
Li: 0.1225 0.3775 0.0000
Li: 0.8775 0.6225 0.0000
Se: 0.3244 0.1756 0.5000
Na: 0.0000 0.0000 0.0000
Se: 0.6756 0.8244 0.5000
Se: 0.8244 0.3244 0.5000
Li: 0.3775 0.8775 0.0000
Na: 0.5000 0.5000 0.0000
Se: 0.1756 0.6756 0.5000
Li: 0.6225 0.1225 0.0000

Calculated values
**Symmetry**: No. 127
**ΔE to the lowest computed polymorph**: 20 meV/atom
**ρ**: 3.45 Mg/m³
**Raw formation energy**: -0.94 eV per atom

***

(6)
Here is Na3LiSe2 after structural relaxation from Alexandria via LeMat-Bulk. Energies are from PBE.

Cell lengths 6.8350, 5.9874, 8.3019 Å; angles 111.14, 114.31, 90.00 degrees
Fractional positions:
Na: 0.9965 0.8153 0.6306
Li: 0.0000 0.2500 0.0000
Se: 0.8915 0.6131 0.2261
Na: 0.0035 0.1847 0.3694
Se: 0.1085 0.3869 0.7739
Li: 0.0000 0.7500 0.0000
Na: 0.5000 0.7500 0.0000
Na: 0.6341 0.3153 0.6306
Se: 0.3346 0.1131 0.2261
Na: 0.5000 0.2500 0.0000
Na: 0.3659 0.6847 0.3694
Se: 0.6654 0.8869 0.7739

Calculated values
**Symmetry**: No. 72
**ρ**: 2.73 Mg/m³
**Raw formation energy**: -1.08 eV per atom